Compound: ErTmCuRh
Source: the Alexandria database
Functional: PBE
Structure: relaxed

Cell: 4.828 4.828 4.828 Å, 60.00 60.00 60.00°
Fractional coordinates of all 4 atoms:
Tm 0.500 0.500 0.500
Er 0.000 0.000 0.000
Rh 0.750 0.750 0.750
Cu 0.250 0.250 0.250

Calculated values
energy relative to the elements: -614 meV per atom
total magnetic moment: 0.000 Bohr magnetons per cell

---

Compound: CdPBr
Source: the Alexandria database
Functional: PBE
Structure: relaxed

Cell: 4.845 4.845 4.845 Å, 60.00 60.00 60.00°
Fractional coordinates of all 3 atoms:
Br 0.500 0.500 0.500
P 0.000 0.000 0.000
Cd 0.750 0.750 0.750

Calculated values
energy relative to the elements, uncorrected: 0.525 eV per atom
energy above the most stable polymorph in this dataset: 0.816 eV/atom
total magnetic moment: 1.737 Bohr magnetons per cell

---

Compound: BaCdCu2
Source: the Alexandria database
Functional: PBE
Structure: relaxed

Cell: 3.621 3.621 7.100 Å, 90.00 90.00 90.00°
Fractional coordinates of all 4 atoms:
Cd 0.500 0.500 0.750
Cu 0.000 0.000 0.574
Ba 0.500 0.500 0.250
Cu 0.000 0.000 0.926

Calculated values
energy relative to the elements: 105 meV per atom
total magnetic moment: 0.000 Bohr magnetons per cell

---

Compound: BH2Pt6
Source: the Alexandria database
Functional: PBE
Structure: relaxed

Cell: 3.053 4.711 13.143 Å, 142.84 96.67 90.00°
Fractional coordinates of all 9 atoms:
Pt 0.412 0.238 0.825
B 0.000 0.500 0.000
Pt 0.588 0.762 0.175
Pt 0.081 0.238 0.162
Pt 0.753 0.273 0.506
H 0.703 0.694 0.406
H 0.297 0.306 0.594
Pt 0.919 0.762 0.838
Pt 0.247 0.727 0.494

Calculated values
VASP energy: -5.501 eV per atom
total magnetic moment: 0.000 Bohr magnetons per cell

---

The highest total magnetic moment belongs to which entry? CdPBr